<one>
VASP calculation (PBE) on a geometry-optimized Ac2TbPd structure.

Its total magnetization is 0.00 μB per formula unit. As for the density of states at the Fermi level: 13.37 states/eV/cell.

It has space group R-3m (No. 166, hexagonal axes), with a = 3.7598 Å, b = 3.7598 Å, c = 34.9808 Å, α = 90.00°, β = 90.00° and γ = 120.00°. The asymmetric unit holds Ac at (0.0000, 0.0000, 0.0792), Tb at (0.0000, 0.0000, 0.5000) and Pd at (0.0000, 0.0000, 0.0000).

=====

<two>
VASP calculation (PBE) on a geometry-optimized Ac2TbPd structure.

Its total magnetization is 0.00 μB per formula unit. As for the density of states at the Fermi level: 5.46 states/eV/cell.

It has space group P4/mmm (No. 123), with a = 3.890 Å, b = 3.890 Å, c = 8.799 Å, α = 90.00°, β = 90.00° and γ = 90.00°. The asymmetric unit holds Ac at (0.000, 0.000, 0.206), Tb at (0.500, 0.500, 0.500) and Pd at (0.500, 0.500, 0.000).

=====

It is <two> that is most stable; the runner-up trails by 457 meV/atom.